8
Lattice="5.541 0.000 0.000 0.000 5.541 0.000 0.000 0.000 5.541" Properties=species:S:1:pos:R:3 comment="SmHo3S4 GGA-PBE optimized geometry" polymorph_energy_ev_per_atom=0.017 pbc="T T T"
Sm 0.000 0.000 0.000
Ho 0.000 2.770 2.770
Ho 2.770 0.000 2.770
Ho 2.770 2.770 0.000
S 0.000 0.000 2.770
S 0.000 2.770 0.000
S 2.770 0.000 0.000
S 2.770 2.770 2.770


12
Lattice="3.382 -5.869 0.000 3.382 5.869 0.000 -2.271 0.000 6.361" Properties=species:S:1:pos:R:3 comment="SmHo5S6 GGA-PBE optimized geometry" dft_energy_ev_per_atom=-6.3488 pbc="T T T"
Sm 0.000 0.000 0.000
Ho 2.246 3.956 3.180
Ho 3.382 1.945 0.000
Ho 2.246 0.000 3.180
Ho 3.382 -1.945 0.000
Ho 2.246 -3.956 3.180
S 1.146 2.000 1.619
S 0.034 0.000 4.757
S 1.146 -2.000 1.619
S 3.347 2.000 4.742
S 4.459 0.000 1.604
S 3.347 -2.000 4.742


15
Lattice="0.000 5.494 5.494 5.494 0.000 5.494 5.494 5.494 0.000" Properties=species:S:1:pos:R:3 comment="SmHo6S8 GGA-PBE optimized geometry" dft_energy_ev_per_atom=-6.3774 pbc="T T T"
Sm 0.000 0.000 0.000
Ho 2.747 2.747 0.000
Ho 2.747 0.000 2.747
Ho 5.494 2.747 2.747
Ho 0.000 2.747 2.747
Ho 2.747 5.494 2.747
Ho 2.747 2.747 5.494
S 2.747 2.747 2.747
S 5.494 5.494 2.815
S 5.494 2.815 5.494
S 8.173 5.494 5.494
S 2.815 5.494 5.494
S 5.494 8.173 5.494
S 5.494 5.494 8.173
S 8.241 8.241 8.241


15
Lattice="6.040 3.487 3.924 -6.040 3.487 3.924 0.000 -6.975 3.924" Properties=species:S:1:pos:R:3 comment="Sm6HoS8 GGA-PBE optimized geometry" polymorph_energy_ev_per_atom=0.406 pbc="T T T"
Sm -4.844 -1.577 6.257
Sm -1.056 -4.983 5.514
Sm -3.787 3.406 5.514
Sm 3.787 -3.406 6.257
Sm 1.056 4.983 6.257
Sm 4.844 1.577 5.514
Ho 0.000 0.000 5.885
S -4.586 0.817 4.981
S -3.000 -3.563 6.790
S 0.000 0.000 3.281
S 1.585 -4.380 4.981
S -1.585 4.380 6.790
S 0.000 0.000 8.490
S 3.000 3.563 4.981
S 4.586 -0.817 6.790


3
Lattice="3.810 0.000 0.000 -1.905 3.299 0.000 0.000 0.000 6.401" Properties=species:S:1:pos:R:3 comment="SmHoS GGA-PBE optimized geometry" dft_energy_ev_per_atom=-5.7388 pbc="T T T"
Sm 0.000 0.000 0.000
Ho 1.905 1.100 3.037
S 0.000 2.199 4.652


8
Lattice="6.987 0.000 0.000 0.000 4.008 0.000 -2.285 0.000 6.622" Properties=species:S:1:pos:R:3 comment="SrSm2HoS4 GGA-PBE optimized geometry" dft_energy_ev_per_atom=-6.0268 pbc="T T T"
Sr 0.000 0.000 0.000
Sm -1.143 2.004 3.311
Sm 2.351 0.000 3.311
Ho 3.493 2.004 0.000
S 0.098 0.000 5.003
S 1.249 2.004 1.674
S 4.604 0.000 1.619
S 3.452 2.004 4.948


15
Lattice="4.001 2.310 6.843 -4.001 2.310 6.843 0.000 -4.620 6.843" Properties=species:S:1:pos:R:3 comment="Sr3SmHo3S8 GGA-PBE optimized geometry" dft_energy_ev_per_atom=-5.8389 pbc="T T T"
Sr -2.001 -1.155 6.843
Sr -2.001 1.155 13.687
Sr 0.000 2.310 6.843
Sm 0.000 0.000 10.265
Ho -4.001 0.000 10.265
Ho -2.001 1.155 3.422
Ho 2.001 1.155 3.422
S -2.036 -1.176 11.812
S 0.000 0.000 4.976
S 0.000 -2.351 8.718
S -2.036 1.176 8.718
S 2.036 -1.176 11.812
S 0.000 2.351 11.812
S 0.000 0.000 15.554
S 2.036 1.176 8.718


8
Lattice="6.932 0.000 0.000 0.000 3.971 0.000 -2.265 0.000 6.570" Properties=species:S:1:pos:R:3 comment="SrSmHo2S4 GGA-PBE optimized geometry" dft_energy_ev_per_atom=-6.0088 pbc="T T T"
Sr 0.000 0.000 0.000
Sm 3.466 1.985 0.000
Ho -1.133 1.985 3.285
Ho 2.333 0.000 3.285
S 0.057 0.000 4.832
S 1.195 1.985 1.763
S 3.472 1.985 4.807
S 4.610 0.000 1.738


8
Lattice="6.805 0.000 0.000 0.000 3.887 0.000 -2.227 0.000 6.474" Properties=species:S:1:pos:R:3 comment="TbSmHo2S4 GGA-PBE optimized geometry" dft_energy_ev_per_atom=-6.3708 pbc="T T T"
Tb 0.000 0.000 0.000
Sm 3.402 1.943 0.000
Ho -1.113 1.943 3.237
Ho 2.289 0.000 3.237
S 0.007 0.000 4.794
S 1.123 1.943 1.663
S 3.455 1.943 4.811
S 4.570 0.000 1.680


10
Lattice="3.475 2.006 6.180 -3.475 2.006 6.180 0.000 -4.013 6.180" Properties=species:S:1:pos:R:3 comment="TbSmHo2S6 GGA-PBE optimized geometry" dft_energy_ev_per_atom=-6.3803 pbc="T T T"
Tb 0.000 0.000 0.000
Sm 0.000 0.000 9.319
Ho 0.000 0.000 5.558
Ho 0.000 0.000 14.798
S -1.083 -1.798 7.370
S -2.516 -0.175 10.466
S -1.015 1.837 7.370
S 1.409 -2.092 10.466
S 2.098 -0.039 7.370
S 1.107 2.266 10.466


10
Lattice="3.503 2.023 6.204 -3.503 2.023 6.204 0.000 -4.045 6.204" Properties=species:S:1:pos:R:3 comment="TbSm2HoS6 GGA-PBE optimized geometry" dft_energy_ev_per_atom=-6.3864 pbc="T T T"
Tb 0.000 0.000 0.000
Sm 0.000 0.000 5.502
Sm 0.000 0.000 14.817
Ho 0.000 0.000 9.291
S -0.983 -1.837 7.464
S -2.381 -0.247 10.558
S -1.100 1.770 7.464
S 1.404 -1.938 10.558
S 2.083 0.068 7.464
S 0.976 2.185 10.558


14
Lattice="4.052 2.339 6.602 -4.052 2.339 6.602 0.000 -4.679 6.602" Properties=species:S:1:pos:R:3 comment="Tb4SmHoS8 GGA-PBE optimized geometry" dft_energy_ev_per_atom=-6.2778 pbc="T T T"
Tb 0.000 0.000 0.000
Tb 0.000 -2.347 10.738
Tb -2.032 1.173 10.738
Tb 2.032 1.173 10.738
Sm 0.000 0.000 14.868
Ho 0.000 0.000 7.429
S 0.000 0.000 2.621
S 0.000 -2.188 5.754
S -1.895 1.094 5.754
S -1.863 -1.076 9.131
S 1.895 1.094 5.754
S 1.863 -1.076 9.131
S 0.000 2.152 9.131
S 0.000 0.000 12.207


12
Lattice="3.394 -5.902 0.000 3.394 5.902 0.000 -2.268 0.000 6.407" Properties=species:S:1:pos:R:3 comment="Tb3SmHo2S6 GGA-PBE optimized geometry" dft_energy_ev_per_atom=-6.3804 pbc="T T T"
Tb 0.000 0.000 0.000
Tb 3.394 1.926 0.000
Tb 3.394 -1.926 0.000
Sm 2.260 0.000 3.203
Ho 2.260 3.941 3.203
Ho 2.260 -3.941 3.203
S 1.106 2.010 1.598
S -0.052 0.000 4.792
S 1.106 -2.010 1.598
S 3.413 2.010 4.808
S 4.571 0.000 1.615
S 3.413 -2.010 4.808


12
Lattice="3.417 -5.941 0.000 3.417 5.941 0.000 -2.283 0.000 6.492" Properties=species:S:1:pos:R:3 comment="Tb2Sm3HoS6 GGA-PBE optimized geometry" dft_energy_ev_per_atom=-6.4128 pbc="T T T"
Tb 3.417 3.959 0.000
Tb 3.417 -3.959 0.000
Sm -1.142 0.000 3.246
Sm 2.275 1.995 3.246
Sm 2.275 -1.995 3.246
Ho 3.417 0.000 0.000
S 0.005 1.965 4.931
S 1.155 0.000 1.568
S 0.005 -1.965 4.931
S 4.545 1.965 1.561
S 3.395 0.000 4.924
S 4.545 -1.965 1.561


14
Lattice="4.026 2.324 6.592 -4.026 2.324 6.592 0.000 -4.648 6.592" Properties=species:S:1:pos:R:3 comment="TbSmHo4S8 GGA-PBE optimized geometry" dft_energy_ev_per_atom=-6.2625 pbc="T T T"
Tb 0.000 0.000 0.000
Sm 0.000 0.000 7.414
Ho 0.000 2.315 16.491
Ho 2.005 -1.157 16.491
Ho -2.005 -1.157 16.491
Ho 0.000 0.000 12.373
S -2.117 -1.222 11.479
S 0.000 0.000 4.742
S 0.000 -2.500 8.333
S -2.165 1.250 8.333
S 2.117 -1.222 11.479
S 0.000 2.445 11.479
S 0.000 0.000 14.987
S 2.165 1.250 8.333


12
Lattice="3.408 -5.925 0.000 3.408 5.925 0.000 -2.277 0.000 6.490" Properties=species:S:1:pos:R:3 comment="TbSm3Ho2S6 GGA-PBE optimized geometry" dft_energy_ev_per_atom=-6.4031 pbc="T T T"
Tb 0.000 0.000 0.000
Sm 2.269 3.964 3.245
Sm 2.269 0.000 3.245
Sm 2.269 -3.964 3.245
Ho 3.408 1.973 0.000
Ho 3.408 -1.973 0.000
S 1.143 1.990 1.556
S 0.014 0.000 4.940
S 1.143 -1.990 1.556
S 3.396 1.990 4.934
S 4.525 0.000 1.550
S 3.396 -1.990 4.934


16
Lattice="3.953 2.282 6.511 -3.953 2.282 6.511 0.000 -4.564 6.511" Properties=species:S:1:pos:R:3 comment="Tb3Sm4HoS8 GGA-PBE optimized geometry" dft_energy_ev_per_atom=-6.4079 pbc="T T T"
Tb -1.976 -1.141 6.511
Tb -1.976 1.141 13.022
Tb 0.000 2.282 6.511
Sm -3.953 0.000 9.766
Sm -1.976 1.141 3.255
Sm 1.976 1.141 3.255
Sm 0.000 0.000 9.766
Ho 0.000 0.000 0.000
S 0.000 -2.296 8.074
S -1.989 1.148 8.074
S -1.989 -1.148 11.459
S 0.000 0.000 4.938
S 0.000 0.000 14.595
S 1.989 1.148 8.074
S 1.989 -1.148 11.459
S 0.000 2.296 11.459


15
Lattice="3.927 2.268 6.469 -3.927 2.268 6.469 0.000 -4.535 6.469" Properties=species:S:1:pos:R:3 comment="TbSm3Ho3S8 GGA-PBE optimized geometry" dft_energy_ev_per_atom=-6.4199 pbc="T T T"
Tb 0.000 0.000 0.000
Sm -3.927 0.000 9.703
Sm -1.964 1.134 3.234
Sm 1.964 1.134 3.234
Ho -1.964 -1.134 6.469
Ho -1.964 1.134 12.937
Ho 0.000 2.267 6.469
S 0.000 -2.235 8.036
S -1.935 1.117 8.036
S 0.000 0.000 4.923
S -1.935 -1.117 11.370
S 1.935 1.117 8.036
S 0.000 0.000 14.483
S 1.935 -1.117 11.370
S 0.000 2.235 11.370


12
Lattice="3.392 -5.898 0.000 3.392 5.898 0.000 -2.267 0.000 6.447" Properties=species:S:1:pos:R:3 comment="TbSm2Ho3S6 GGA-PBE optimized geometry" dft_energy_ev_per_atom=-6.3819 pbc="T T T"
Tb 0.000 0.000 0.000
Sm 3.392 1.969 0.000
Sm 3.392 -1.969 0.000
Ho 2.258 3.907 3.224
Ho 2.258 0.000 3.224
Ho 2.258 -3.907 3.224
S 1.114 1.940 1.668
S -0.035 0.000 4.769
S 1.114 -1.940 1.668
S 3.402 1.940 4.779
S 4.552 0.000 1.678
S 3.402 -1.940 4.779


8
Lattice="6.837 0.000 0.000 0.000 3.915 0.000 -2.248 0.000 6.552" Properties=species:S:1:pos:R:3 comment="TbSm2HoS4 GGA-PBE optimized geometry" dft_energy_ev_per_atom=-6.4028 pbc="T T T"
Tb 0.000 0.000 0.000
Sm -1.124 1.957 3.276
Sm 2.294 0.000 3.276
Ho 3.418 1.957 0.000
S 1.159 1.957 1.576
S 0.038 0.000 4.985
S 4.551 0.000 1.566
S 3.429 1.957 4.976


16
Lattice="3.936 2.272 6.515 -3.936 2.272 6.515 0.000 -4.544 6.515" Properties=species:S:1:pos:R:3 comment="TbSm4Ho3S8 GGA-PBE optimized geometry" dft_energy_ev_per_atom=-6.3939 pbc="T T T"
Tb 0.000 0.000 0.000
Sm -3.936 0.000 9.773
Sm -1.968 1.136 3.258
Sm 1.968 1.136 3.258
Sm 0.000 0.000 9.773
Ho -1.968 -1.136 6.515
Ho -1.968 1.136 13.030
Ho 0.000 2.272 6.515
S 0.000 -2.258 8.069
S -1.956 1.129 8.069
S 0.000 0.000 4.970
S -1.956 -1.129 11.476
S 1.956 1.129 8.069
S 0.000 0.000 14.575
S 1.956 -1.129 11.476
S 0.000 2.258 11.476


Number 1: D(E_F) 4.4 states/eV/cell. Number 2: D(E_F) 4.2 states/eV/cell. Number 3: D(E_F) 5.8 states/eV/cell. Number 4: D(E_F) 8.1 states/eV/cell. Number 5: D(E_F) 1.3 states/eV/cell. Number 6: D(E_F) 2.8 states/eV/cell. Number 7: D(E_F) 4.7 states/eV/cell. Number 8: D(E_F) 2.8 states/eV/cell. Number 9: D(E_F) 4.7 states/eV/cell. Number 10: D(E_F) 0.0 states/eV/cell. Number 11: D(E_F) 0.0 states/eV/cell. Number 12: D(E_F) 8.4 states/eV/cell. Number 13: D(E_F) 4.8 states/eV/cell. Number 14: D(E_F) 5.1 states/eV/cell. Number 15: D(E_F) 8.4 states/eV/cell. Number 16: D(E_F) 5.2 states/eV/cell. Number 17: D(E_F) 8.6 states/eV/cell. Number 18: D(E_F) 6.6 states/eV/cell. Number 19: D(E_F) 5.1 states/eV/cell. Number 20: D(E_F) 4.6 states/eV/cell. Number 21: D(E_F) 8.2 states/eV/cell.